NaTbPaO4 after structural relaxation. Source: Alexandria, functional PBE.

Structure (POSCAR):
```
NaTbPaO4
1.0
-2.381 3.439 -5.776
-4.363 -1.611 5.242
4.801 4.893 0.934
Na O Tb Pa
2 8 2 2
direct
0.117 0.233 0.867
0.883 0.767 0.133
0.310 0.048 0.274
0.265 0.531 0.305
0.265 0.531 0.726
0.735 0.469 0.274
0.690 0.952 0.726
0.262 0.952 0.726
0.735 0.469 0.695
0.738 0.048 0.274
0.500 0.000 0.000
0.500 0.000 0.500
0.500 0.500 0.500
0.000 0.500 0.500
```

- magnetization (μB per formula unit) = 1.0
- space-group type = Imma, No. 74
- uncorrected energy (eV per cell) = -112.83
- uncorrected formation energy (meV/atom) = -3019

Na2TbPaO5 after structural relaxation. Source: Alexandria, functional PBE.

Structure (POSCAR):
```
Na2TbPaO5
1.0
-1.150 -1.754 3.630
3.971 -1.142 0.706
1.443 7.560 4.110
Pa O Na Tb
1 5 2 1
direct
0.000 0.000 0.500
0.500 0.500 0.000
0.500 0.000 0.500
0.000 0.000 0.754
0.000 0.000 0.246
0.000 0.500 0.500
0.500 0.500 0.735
0.500 0.500 0.265
0.000 0.000 0.000
```

- magnetization (μB per formula unit) = 0.0
- space-group type = P4/mmm, No. 123
- uncorrected energy (eV per cell) = -65.20
- uncorrected formation energy (meV/atom) = -2627

NaPaTcO6 after structural relaxation. Source: Alexandria, functional PBE.

Structure (POSCAR):
```
NaPaTcO6
1.0
-4.381 -2.671 -2.162
5.119 -1.030 -1.932
1.093 -7.271 6.771
O Pa Na Tc
12 2 2 2
direct
0.643 0.030 0.356
0.970 0.613 0.356
0.613 0.643 0.644
0.387 0.030 0.144
0.613 0.970 0.856
0.030 0.387 0.644
0.387 0.357 0.356
0.357 0.970 0.644
0.643 0.613 0.144
0.970 0.357 0.144
0.030 0.643 0.856
0.357 0.387 0.856
0.667 0.333 0.750
0.333 0.667 0.250
0.000 0.000 0.500
0.000 0.000 0.000
0.333 0.667 0.750
0.667 0.333 0.250
```

- magnetization (μB per formula unit) = 1.0
- space-group type = P-31c, No. 163
- uncorrected energy (eV per cell) = -141.99
- uncorrected formation energy (meV/atom) = -2229

Na2PaTcO6 after structural relaxation. Source: Alexandria, functional PBE.

Structure (POSCAR):
```
Na2PaTcO6
1.0
4.407 0.000 0.000
0.000 5.749 0.000
0.000 0.000 5.749
Pa O Tc Na
1 6 1 2
direct
0.656 0.500 0.500
0.697 0.234 0.766
0.697 0.766 0.766
0.697 0.766 0.234
0.193 0.000 0.000
0.162 0.500 0.500
0.697 0.234 0.234
0.584 0.000 0.000
0.031 0.500 0.000
0.031 0.000 0.500
```

- magnetization (μB per formula unit) = 0.2
- space-group type = P4mm, No. 99
- uncorrected energy (eV per cell) = -74.38
- uncorrected formation energy (meV/atom) = -2213

NaPa2TcO8 after structural relaxation. Source: Alexandria, functional PBE.

Structure (POSCAR):
```
NaPa2TcO8
1.0
4.918 -0.034 -0.003
0.001 4.918 -0.005
0.004 0.008 7.065
Na Pa O Tc
1 2 8 1
direct
0.000 0.000 0.500
0.500 0.500 0.251
0.500 0.500 0.749
0.806 0.194 0.800
0.806 0.194 0.200
0.680 0.680 0.500
0.194 0.806 0.800
0.320 0.320 0.500
0.297 0.297 0.000
0.703 0.703 0.000
0.194 0.806 0.200
0.000 0.000 0.000
```

- magnetization (μB per formula unit) = 2.0
- space-group type = Cmmm, No. 65
- uncorrected energy (eV per cell) = -102.08
- uncorrected formation energy (meV/atom) = -2645

NaPaTc2O8 after structural relaxation. Source: Alexandria, functional PBE.

Structure (POSCAR):
```
NaPaTc2O8
1.0
5.951 0.000 0.000
-2.976 5.154 0.000
0.000 0.000 6.909
O Tc Pa Na
8 2 1 1
direct
0.333 0.667 0.051
0.835 0.670 0.302
0.165 0.330 0.698
0.330 0.165 0.302
0.165 0.835 0.698
0.670 0.835 0.698
0.667 0.333 0.949
0.835 0.165 0.302
0.667 0.333 0.199
0.333 0.667 0.801
0.000 0.000 0.500
0.000 0.000 0.000
```

- magnetization (μB per formula unit) = 4.0
- space-group type = P-3m1, No. 164
- uncorrected energy (eV per cell) = -94.36
- uncorrected formation energy (meV/atom) = -1929

NaPaTeO6 after structural relaxation. Source: Alexandria, functional PBE.

Structure (POSCAR):
```
NaPaTeO6
1.0
-3.314 4.239 -1.702
1.454 -4.075 -3.623
-8.143 -5.290 2.682
O Na Te Pa
12 2 2 2
direct
0.645 0.612 0.143
0.355 0.388 0.857
0.355 0.967 0.643
0.033 0.388 0.643
0.388 0.355 0.357
0.612 0.645 0.643
0.967 0.355 0.143
0.967 0.612 0.357
0.612 0.967 0.857
0.033 0.645 0.857
0.388 0.033 0.143
0.645 0.033 0.357
0.000 0.000 0.000
0.000 0.000 0.500
0.667 0.333 0.250
0.333 0.667 0.750
0.667 0.333 0.750
0.333 0.667 0.250
```

- magnetization (μB per formula unit) = 0.0
- space-group type = P-31c, No. 163
- uncorrected energy (eV per cell) = -124.89
- uncorrected formation energy (meV/atom) = -2082

NaPaTe2O8 after structural relaxation. Source: Alexandria, functional PBE.

Structure (POSCAR):
```
NaPaTe2O8
1.0
-2.034 -0.035 -5.956
-0.133 -5.704 2.658
-3.807 3.760 3.314
O Te Pa Na
8 2 1 1
direct
0.898 0.682 0.216
0.318 0.535 0.216
0.754 0.070 0.684
0.930 0.246 0.316
0.930 0.613 0.684
0.318 0.102 0.784
0.465 0.682 0.784
0.387 0.070 0.316
0.500 0.500 0.000
0.750 0.250 0.500
0.250 0.750 0.500
0.000 0.000 0.000
```

- magnetization (μB per formula unit) = 0.0
- space-group type = I-4m2, No. 119
- uncorrected energy (eV per cell) = -76.83
- uncorrected formation energy (meV/atom) = -1672

Na2Pa2Te2O5 after structural relaxation. Source: Alexandria, functional PBE.

Structure (POSCAR):
```
Na2Pa2Te2O5
1.0
4.368 0.000 0.000
0.000 4.368 0.000
-2.184 -2.184 12.023
O Pa Te Na
5 2 2 2
direct
0.100 0.600 0.199
0.600 0.100 0.199
0.000 0.000 0.000
0.900 0.400 0.801
0.400 0.900 0.801
0.912 0.912 0.824
0.088 0.088 0.176
0.774 0.774 0.548
0.226 0.226 0.452
0.350 0.350 0.700
0.650 0.650 0.300
```

- magnetization (μB per formula unit) = 0.0
- space-group type = I4/mmm, No. 139
- uncorrected energy (eV per cell) = -79.01
- uncorrected formation energy (meV/atom) = -2391

Na2ThPaO6 after structural relaxation. Source: Alexandria, functional PBE.

Structure (POSCAR):
```
Na2ThPaO6
1.0
-0.180 5.825 -1.138
-2.769 0.959 5.346
7.590 0.969 3.758
O Th Na Pa
12 2 4 2
direct
0.301 0.688 0.448
0.699 0.312 0.552
0.396 0.953 0.758
0.104 0.453 0.742
0.604 0.047 0.242
0.317 0.705 0.057
0.183 0.205 0.443
0.817 0.795 0.557
0.199 0.188 0.052
0.896 0.547 0.258
0.683 0.295 0.943
0.801 0.812 0.948
0.500 0.000 0.500
0.000 0.500 0.000
0.496 0.468 0.252
0.996 0.032 0.752
0.504 0.532 0.748
0.004 0.968 0.248
0.500 0.000 0.000
0.000 0.500 0.500
```

- magnetization (μB per formula unit) = 0.0
- space-group type = P2_1/c, No. 14
- uncorrected energy (eV per cell) = -155.12
- uncorrected formation energy (meV/atom) = -2826

NaThPa2O8 after structural relaxation. Source: Alexandria, functional PBE.

Structure (POSCAR):
```
NaThPa2O8
1.0
-0.581 0.574 -5.442
-1.578 -5.257 -0.386
-4.064 3.833 3.620
Na O Th Pa
1 8 1 2
direct
0.000 0.000 0.000
0.601 0.615 0.744
0.143 0.616 0.745
0.143 0.129 0.744
0.601 0.129 0.745
0.871 0.857 0.255
0.385 0.857 0.256
0.871 0.399 0.256
0.384 0.399 0.255
0.750 0.250 0.500
0.250 0.750 0.500
0.500 0.500 0.000
```

- magnetization (μB per formula unit) = 0.6
- space-group type = I-4m2, No. 119
- uncorrected energy (eV per cell) = -106.40
- uncorrected formation energy (meV/atom) = -3250

NaPa2TiO8 after structural relaxation. Source: Alexandria, functional PBE.

Structure (POSCAR):
```
NaPa2TiO8
1.0
4.864 0.010 -0.003
0.051 4.863 -0.005
0.004 0.007 7.074
Ti O Na Pa
1 8 1 2
direct
0.000 0.000 0.000
0.320 0.319 0.500
0.193 0.807 0.792
0.193 0.807 0.208
0.706 0.707 0.000
0.294 0.293 0.000
0.807 0.193 0.208
0.807 0.193 0.792
0.680 0.681 0.500
0.000 0.000 0.500
0.500 0.500 0.750
0.500 0.500 0.250
```

- magnetization (μB per formula unit) = 0.0
- space-group type = Cmmm, No. 65
- uncorrected energy (eV per cell) = -103.35
- uncorrected formation energy (meV/atom) = -2957

Na2PaTiO5 after structural relaxation. Source: Alexandria, functional PBE.

Structure (POSCAR):
```
Na2PaTiO5
1.0
-3.761 0.755 1.758
1.655 -0.661 3.825
1.865 7.964 0.569
Ti Pa O Na
1 1 5 2
direct
0.000 0.000 0.000
0.000 0.000 0.500
0.000 0.000 0.770
0.500 0.500 0.000
0.000 0.500 0.500
0.500 0.000 0.500
0.000 0.000 0.230
0.500 0.500 0.261
0.500 0.500 0.739
```

- magnetization (μB per formula unit) = 1.0
- space-group type = P4/mmm, No. 123
- uncorrected energy (eV per cell) = -65.79
- uncorrected formation energy (meV/atom) = -2329

NaPaTiO5 after structural relaxation. Source: Alexandria, functional PBE.

Structure (POSCAR):
```
NaPaTiO5
1.0
-5.003 2.114 2.852
2.958 -2.204 4.901
4.186 6.446 -2.679
Ti Na O Pa
2 2 10 2
direct
0.659 0.341 0.250
0.341 0.659 0.750
0.322 0.678 0.250
0.678 0.322 0.750
0.187 0.732 0.913
0.928 0.072 0.750
0.072 0.928 0.250
0.268 0.813 0.587
0.339 0.271 0.129
0.271 0.339 0.629
0.729 0.661 0.371
0.813 0.268 0.087
0.732 0.187 0.413
0.661 0.729 0.871
0.000 0.000 0.000
0.000 0.000 0.500
```

- magnetization (μB per formula unit) = 0.0
- space-group type = C2/c, No. 15
- uncorrected energy (eV per cell) = -136.46
- uncorrected formation energy (meV/atom) = -3091

NaPaTi2O8 after structural relaxation. Source: Alexandria, functional PBE.

Structure (POSCAR):
```
NaPaTi2O8
1.0
-2.344 -4.676 -3.163
5.856 -0.697 1.608
-3.228 0.453 5.171
O Pa Ti Na
8 1 2 1
direct
0.452 0.658 0.794
0.944 0.264 0.320
0.944 0.623 0.680
0.342 0.548 0.206
0.736 0.056 0.680
0.377 0.056 0.320
0.342 0.136 0.794
0.864 0.658 0.206
0.250 0.750 0.500
0.750 0.250 0.500
0.500 0.500 0.000
0.000 0.000 0.000
```

- magnetization (μB per formula unit) = 2.0
- space-group type = I-4m2, No. 119
- uncorrected energy (eV per cell) = -96.64
- uncorrected formation energy (meV/atom) = -2531

Na2PaTiO6 after structural relaxation. Source: Alexandria, functional PBE.

Structure (POSCAR):
```
Na2PaTiO6
1.0
5.694 0.000 0.000
2.847 4.931 0.000
2.847 1.644 4.743
Na O Pa Ti
2 6 1 1
direct
0.059 0.059 0.823
0.563 0.563 0.311
0.081 0.482 0.808
0.629 0.082 0.808
0.006 0.557 0.285
0.482 0.629 0.808
0.558 0.152 0.285
0.152 0.006 0.285
0.816 0.816 0.551
0.316 0.316 0.052
```

- magnetization (μB per formula unit) = 1.0
- space-group type = R3, No. 146
- uncorrected energy (eV per cell) = -76.01
- uncorrected formation energy (meV/atom) = -2623

NaPaTiO6 after structural relaxation. Source: Alexandria, functional PBE.

Structure (POSCAR):
```
NaPaTiO6
1.0
4.761 0.000 0.000
0.000 5.473 0.000
0.000 -2.737 4.740
O Na Ti Pa
6 1 1 1
direct
0.732 0.045 0.317
0.268 0.272 0.317
0.732 0.272 0.955
0.268 0.045 0.728
0.732 0.683 0.728
0.268 0.683 0.955
0.500 0.667 0.333
0.500 0.000 0.000
0.000 0.333 0.667
```

- magnetization (μB per formula unit) = 2.0
- space-group type = P312, No. 149
- uncorrected energy (eV per cell) = -70.53
- uncorrected formation energy (meV/atom) = -2453

NaPaTlO4 after structural relaxation. Source: Alexandria, functional PBE.

Structure (POSCAR):
```
NaPaTlO4
1.0
-1.948 0.711 6.617
-3.470 -4.706 -4.149
6.659 -1.383 2.109
O Na Tl Pa
8 2 2 2
direct
0.299 0.991 0.245
0.708 0.415 0.695
0.692 0.991 0.245
0.701 0.009 0.755
0.708 0.415 0.220
0.292 0.585 0.305
0.292 0.585 0.780
0.308 0.009 0.755
0.147 0.293 0.897
0.853 0.707 0.103
0.000 0.500 0.500
0.500 0.500 0.500
0.500 0.000 0.500
0.500 0.000 0.000
```

- magnetization (μB per formula unit) = 0.0
- space-group type = Imma, No. 74
- uncorrected energy (eV per cell) = -97.35
- uncorrected formation energy (meV/atom) = -2237

Na2PaTlO5 after structural relaxation. Source: Alexandria, functional PBE.

Structure (POSCAR):
```
Na2PaTlO5
1.0
-1.786 -1.655 3.468
-2.368 -2.537 -2.431
6.096 -5.967 0.291
Tl O Pa Na
1 5 1 2
direct
0.000 0.000 0.000
0.000 0.000 0.245
0.000 0.500 0.500
0.500 0.000 0.500
0.000 0.000 0.755
0.500 0.500 0.000
0.000 0.000 0.500
0.500 0.500 0.741
0.500 0.500 0.259
```

- magnetization (μB per formula unit) = 0.1
- space-group type = P4/mmm, No. 123
- uncorrected energy (eV per cell) = -57.01
- uncorrected formation energy (meV/atom) = -1969

NaPaTl4O8 after structural relaxation. Source: Alexandria, functional PBE.

Structure (POSCAR):
```
NaPaTl4O8
1.0
-6.493 0.143 -2.836
-4.996 -4.439 2.358
-5.308 2.126 3.405
Pa O Tl Na
1 8 4 1
direct
0.417 0.417 0.748
0.748 0.239 0.774
0.239 0.748 0.774
0.239 0.239 0.774
0.256 0.699 0.345
0.267 0.267 0.200
0.771 0.771 0.686
0.699 0.256 0.345
0.699 0.699 0.345
0.497 0.015 0.472
0.636 0.636 0.092
0.015 0.015 0.472
0.015 0.497 0.472
0.999 0.999 0.002
```

- magnetization (μB per formula unit) = 0.0
- space-group type = R3m, No. 160
- uncorrected energy (eV per cell) = -78.56
- uncorrected formation energy (meV/atom) = -1330